Record 1
Entry from the Alexandria database: crystalline AgHgAs2Os at its relaxed geometry (PBE).

Structure (POSCAR):
```
AgHgAs2Os
1.0
-0.571 1.142 4.553
-4.592 -2.794 0.126
2.393 -3.875 1.272
As Os Hg Ag
2 1 1 1
direct
0.000 0.000 0.500
0.500 0.000 0.000
0.000 0.000 0.000
0.000 0.500 0.000
0.500 0.500 0.500
```

**N(E_F)**: 0.604 states/eV per atom
**E_form**: 593 meV/atom
**Theoretical density**: 8957 kg/m³

Record 2
Entry from the Alexandria database: crystalline AgHgAsPb at its relaxed geometry (PBE).

Structure (POSCAR):
```
AgHgAsPb
1.0
5.136 0.000 0.000
2.568 4.448 0.000
2.568 1.483 4.193
Pb As Hg Ag
1 1 1 1
direct
0.750 0.750 0.750
0.500 0.500 0.500
0.000 0.000 0.000
0.250 0.250 0.250
```

**N(E_F)**: 0.330 states/eV per atom
**E_form**: 159 meV/atom
**Theoretical density**: 10238 kg/m³

Record 3
Entry from the Alexandria database: crystalline RbAgHg2As at its relaxed geometry (PBE).

Structure (POSCAR):
```
RbAgHg2As
1.0
-1.937 -4.217 -3.157
3.431 -3.562 2.654
-3.687 -0.935 3.511
As Rb Hg Ag
1 1 2 1
direct
0.000 0.000 0.000
0.500 0.500 0.500
0.000 0.500 0.000
0.500 0.000 0.000
0.000 0.000 0.500
```

**N(E_F)**: 0.416 states/eV per atom
**E_form**: -5 meV/atom
**Theoretical density**: 6817 kg/m³

Record 4
Entry from the Alexandria database: crystalline Rb2AgHgAs at its relaxed geometry (PBE).

Structure (POSCAR):
```
Rb2AgHgAs
1.0
-6.126 -0.844 2.819
-0.098 -6.448 -2.144
2.123 -1.425 4.187
As Rb Hg Ag
1 2 1 1
direct
0.000 0.000 0.000
0.000 0.500 0.000
0.500 0.000 0.000
0.500 0.500 0.500
0.000 0.000 0.500
```

**N(E_F)**: 0.268 states/eV per atom
**E_form**: -152 meV/atom
**Theoretical density**: 4063 kg/m³
**E above lowest polymorph**: 0 meV per atom

Record 5
Entry from the Alexandria database: crystalline AgHgAsSe2 at its relaxed geometry (PBE).

Structure (POSCAR):
```
AgHgAsSe2
1.0
-3.189 -3.757 -1.482
3.304 -3.513 1.796
-2.273 0.158 4.490
As Se Hg Ag
1 2 1 1
direct
0.000 0.000 0.500
0.000 0.500 0.000
0.500 0.000 0.000
0.500 0.500 0.500
0.000 0.000 0.000
```

**Raw formation energy**: 0.70 eV/atom
**N(E_F)**: 1.224 states/eV per atom
**Theoretical density**: 6741 kg/m³
**E above lowest polymorph**: 0 meV per atom

Record 6
Entry from the Alexandria database: crystalline SiAgHgAs2 at its relaxed geometry (PBE).

Structure (POSCAR):
```
SiAgHgAs2
1.0
-3.209 -3.972 -0.171
0.598 -0.688 4.742
-3.925 3.130 0.949
As Si Hg Ag
2 1 1 1
direct
0.000 0.000 0.500
0.500 0.000 0.000
0.000 0.500 0.000
0.500 0.500 0.500
0.000 0.000 0.000
```

**Raw formation energy**: 0.89 eV/atom
**N(E_F)**: 0.587 states/eV per atom
**Theoretical density**: 6407 kg/m³

Record 7
Entry from the Alexandria database: crystalline SrAgHgAs at its relaxed geometry (PBE).

Structure (POSCAR):
```
SrAgHgAs
1.0
5.185 0.000 0.000
2.593 4.490 0.000
2.593 1.497 4.234
Sr As Hg Ag
1 1 1 1
direct
0.250 0.250 0.250
0.500 0.500 0.500
0.000 0.000 0.000
0.750 0.750 0.750
```

**N(E_F)**: 0.155 states/eV per atom
**E_form**: -394 meV/atom
**Theoretical density**: 7935 kg/m³

Record 8
Entry from the Alexandria database: crystalline AgHg2Te4As at its relaxed geometry (PBE).

Structure (POSCAR):
```
AgHg2Te4As
1.0
4.270 0.000 0.000
0.000 7.459 -0.150
0.000 2.621 6.850
Ag Hg Te As
1 2 4 1
direct
0.000 0.500 0.500
0.000 0.000 0.000
0.500 0.000 0.500
0.000 0.721 0.750
0.000 0.279 0.250
0.500 0.742 0.246
0.500 0.258 0.754
0.500 0.500 0.000
```

**Raw formation energy**: -0.01 eV/atom
**N(E_F)**: 0.469 states/eV per atom
**Theoretical density**: 8265 kg/m³

Record 9
Entry from the Alexandria database: crystalline Ho2AgAs at its relaxed geometry (PBE).

Structure (POSCAR):
```
Ho2AgAs
1.0
-0.328 1.708 -3.673
-2.877 -1.261 -2.578
-5.576 5.000 0.575
As Ho Ag
1 2 1
direct
0.000 0.000 0.000
0.257 0.257 0.228
0.743 0.743 0.772
0.500 0.500 0.500
```

**N(E_F)**: 0.987 states/eV per atom
**E_form**: -762 meV/atom
**Theoretical density**: 8341 kg/m³

Record 10
Entry from the Alexandria database: crystalline HoAgAs2 at its relaxed geometry (PBE).

Structure (POSCAR):
```
HoAgAs2
1.0
3.812 0.000 0.000
0.000 4.622 0.000
0.000 0.000 4.622
As Ho Ag
2 1 1
direct
0.000 0.000 0.500
0.000 0.500 0.000
0.500 0.000 0.000
0.500 0.500 0.500
```

**N(E_F)**: 0.539 states/eV per atom
**E_form**: -559 meV/atom
**Theoretical density**: 8619 kg/m³

Record 11
Entry from the Alexandria database: crystalline HoAgAs2 at its relaxed geometry (PBE).

Structure (POSCAR):
```
HoAgAs2
1.0
-3.744 0.661 -1.942
-3.638 -0.329 2.209
-2.167 5.576 1.385
As Ho Ag
2 1 1
direct
0.255 0.255 0.236
0.745 0.745 0.764
0.500 0.500 0.500
0.000 0.000 0.000
```

**N(E_F)**: 0.759 states/eV per atom
**E_form**: -429 meV/atom
**Theoretical density**: 7906 kg/m³

Record 12
Entry from the Alexandria database: crystalline HoAgAs2O8 at its relaxed geometry (PBE).

Structure (POSCAR):
```
HoAgAs2O8
1.0
5.970 0.097 0.000
-2.561 5.394 0.000
-1.705 -2.745 5.021
Ho Ag As O
1 1 2 8
direct
0.250 0.750 0.500
0.000 0.000 0.000
0.750 0.250 0.500
0.500 0.500 0.000
0.389 0.066 0.322
0.331 0.517 0.186
0.331 0.145 0.814
0.744 0.066 0.678
0.855 0.669 0.186
0.934 0.256 0.322
0.934 0.611 0.678
0.483 0.669 0.814
```

**Raw formation energy**: -1.37 eV/atom
**N(E_F)**: 0.749 states/eV per atom
**Theoretical density**: 5612 kg/m³

The highest N(E_F) belongs to which entry?
AgHgAsSe2

Number 7 is which compound?
SrAgHgAs